Record 1
# VSnSe2N

Crystalline VSnSe2N at its relaxed geometry (PBE-GGA, the Alexandria database).

Cell lengths 5.2933, 5.2933, 3.9129 Å; angles 90.00, 90.00, 90.00 degrees
Closest atoms and distances in Å follow each position.
Space group P4/mmm (No. 123)
One atom of each set of equivalent atoms:
V1 0.0000 0.0000 0.0000 x1  8 Se 3.29
Sn1 0.5000 0.5000 0.5000 x1  2 N 1.96
Se1 0.0000 0.5000 0.5000 x2  2 Sn 2.65
N1 0.5000 0.5000 0.0000 x1  2 Sn 1.96

Calculated values
ΔE_f (raw) ... 1.163 eV/atom


Record 2
# CaTbCe2Te4

Crystalline CaTbCe2Te4 at its relaxed geometry (PBE-GGA, the Alexandria database).

Cell lengths 7.7255, 4.4279, 7.7865 Å; angles 90.00, 109.01, 90.00 degrees
Closest atoms and distances in Å follow each position.
Space group P2/m (No. 10)
One atom of each set of equivalent atoms:
Ca1 0.0000 0.0000 0.0000 x1  6 Te 3.13
Tb1 0.5000 0.5000 0.0000 x1  6 Te 3.11
Ce1 0.0000 0.5000 0.5000 x1  6 Te 3.20
Ce2 0.5000 0.0000 0.5000 x1  6 Te 3.19
Te1 0.2484 0.5000 0.2414 x2  1 Tb 3.11, 2 Ca 3.13, 3 Ce 3.19-3.20
Te2 0.2542 0.0000 0.7592 x2  2 Tb 3.11, 1 Ca 3.13, 3 Ce 3.19-3.20

Calculated values
ΔE_f (raw) ... -1.396 eV/atom


Record 3
# LaYOF2

Crystalline LaYOF2 at its relaxed geometry (PBE-GGA, the Alexandria database).

Cell lengths 4.5230, 4.5230, 4.4312 Å; angles 90.00, 90.00, 90.00 degrees
Closest atoms and distances in Å follow each position.
Space group P4/mmm (No. 123)
One atom of each set of equivalent atoms:
La1 0.0000 0.0000 0.0000 x1  8 F 3.17, 4 O 3.20
Y1 0.5000 0.5000 0.5000 x1  2 O 2.22, 4 F 2.26
O1 0.5000 0.5000 0.0000 x1  2 Y 2.22
F1 0.0000 0.5000 0.5000 x2  2 Y 2.26

Calculated values
Distance to the lowest polymorph of the same formula ... 0.000 eV per formula unit
ΔE_f (raw) ... -2.715 eV/atom


Record 4
# Pm2BeAs3Rh4

Crystalline Pm2BeAs3Rh4 at its relaxed geometry (PBE-GGA, the Alexandria database).

Cell lengths 4.1866, 4.1866, 10.0020 Å; angles 90.00, 90.00, 90.00 degrees
Closest atoms and distances in Å follow each position.
Space group P-4m2 (No. 115)
One atom of each set of equivalent atoms:
Pm1 0.0000 0.5000 0.2423 x2  6 As 3.18-3.20, 2 Be 3.20, 8 Rh 3.22-3.32
Be1 0.5000 0.5000 0.0000 x1  4 Rh 2.39
As1 0.0000 0.0000 0.0000 x1  4 Rh 2.39
As2 0.0000 0.5000 0.6420 x2  5 Rh 2.42-2.53
Rh1 0.0000 0.0000 0.5000 x1  4 As 2.53
Rh2 0.0000 0.5000 0.8842 x2  2 Be 2.39, 3 As 2.39-2.42
Rh3 0.5000 0.5000 0.5000 x1  4 As 2.53

Calculated values
Formation energy from the elements ... -0.894 eV per atom


Record 5
# SmPu4Th

Crystalline SmPu4Th at its relaxed geometry (PBE-GGA, the Alexandria database).

Cell lengths 8.7289, 8.7289, 8.7289 Å; angles 90.00, 90.00, 90.00 degrees
Closest atoms and distances in Å follow each position.
Space group F-43m (No. 216)
One atom of each set of equivalent atoms:
Sm1 0.0000 0.0000 0.0000 x4  12 Pu 3.62, 4 Th 3.78
Pu1 0.1243 0.1243 0.3757 x16  6 Pu 3.07-3.10
Th1 0.2500 0.2500 0.7500 x4  12 Pu 3.62, 4 Sm 3.78

Calculated values
Formation energy from the elements ... 0.215 eV per atom


What did we get for raw total energy? Answer: -4.521; -5.280; -6.734; -6.552; -11.363 eV per atom, in the order shown.